1.
Here is Ag2PdI after structural relaxation from Alexandria via LeMat-Bulk. Energies are from PBE.

Computed properties:
The value obtained for the formation energy (no corrections) is 0.30 eV/atom. The polymorph energy (0 for the lowest one) is 30 meV/atom.

Cell and atoms, written as extended XYZ:
```
16
Lattice="6.953 0.000 0.000 0.000 6.953 0.000 0.000 0.000 6.953" Properties=species:S:1:pos:R:3 pbc="T T T"
Ag 1.738 1.738 1.738
Ag 1.738 1.738 5.215
Ag 1.738 5.215 1.738
Ag 1.738 5.215 5.215
Ag 5.215 1.738 1.738
Ag 5.215 1.738 5.215
Ag 5.215 5.215 1.738
Ag 5.215 5.215 5.215
Pd 0.000 0.000 0.000
Pd 0.000 3.477 3.477
Pd 3.477 0.000 3.477
Pd 3.477 3.477 0.000
I 0.000 0.000 3.477
I 0.000 3.477 0.000
I 3.477 0.000 0.000
I 3.477 3.477 3.477
```



2.
Here is AgPd2I8 after structural relaxation from Alexandria via LeMat-Bulk. Energies are from PBE.

Computed properties:
The value obtained for the formation energy (no corrections) is -0.06 eV/atom. The polymorph energy (0 for the lowest one) is 0 meV/atom.

Cell and atoms, written as extended XYZ:
```
11
Lattice="6.250 -4.568 0.000 6.250 4.568 0.000 -6.243 0.000 9.268" Properties=species:S:1:pos:R:3 pbc="T T T"
Ag 0.000 0.000 0.000
Pd 1.319 0.000 3.848
Pd 4.938 0.000 5.420
I -0.560 2.677 7.412
I -1.065 0.000 4.958
I 6.818 2.677 1.856
I 3.828 0.000 3.029
I 2.430 0.000 6.238
I -0.560 -2.677 7.412
I 7.323 0.000 4.309
I 6.818 -2.677 1.856
```



3.
Here is Ag3PdI4 after structural relaxation from Alexandria via LeMat-Bulk. Energies are from PBE.

Computed properties:
The value obtained for the formation energy (no corrections) is -0.12 eV/atom.

Cell and atoms, written as extended XYZ:
```
16
Lattice="6.478 0.000 0.000 0.000 6.478 0.000 0.000 0.000 13.200" Properties=species:S:1:pos:R:3 pbc="T T T"
Ag 0.000 0.000 0.000
Ag 0.000 3.239 3.300
Ag 0.000 3.239 9.900
Ag 3.239 0.000 3.300
Ag 3.239 0.000 9.900
Ag 3.239 3.239 6.600
Pd 0.000 0.000 6.600
Pd 3.239 3.239 0.000
I 1.566 1.566 4.997
I 1.566 4.912 8.204
I 1.673 1.673 11.597
I 1.673 4.805 1.604
I 4.805 1.673 1.604
I 4.805 4.805 11.597
I 4.912 1.566 8.204
I 4.912 4.912 4.997
```



Computed total magnetization, in the same sequence as the records: 0.00; 0.00; 0.55 μB per formula unit.
Computed electronic total energy, in the same sequence as the records: -11.227; -26.277; -20.932 eV per formula unit.